! Ba6Na2V2Sb2O17, optimized geometry, DFT GGA+U; values from VASP
! Symmetry: P6_3/mmc
! Spin magnetization in μB/f.u.: 0.000
! Density in g/cm³: 5.20
! Final energy in eV/atom: -6.51
&SYSTEM
  ibrav = 0, nat = 58, ntyp = 5
/
ATOMIC_SPECIES
O 16.00 O.upf
Sb 121.76 Sb.upf
Ba 137.33 Ba.upf
V 50.94 V.upf
Na 22.99 Na.upf
CELL_PARAMETERS angstrom
-1.764 0.905 -5.667
5.718 -1.401 1.177
-6.698 -29.558 -2.638
ATOMIC_POSITIONS angstrom
O 0.068 -9.936 -4.789
O -6.663 -26.932 -6.911
O -0.159 -15.562 -2.437
Sb -1.479 -21.391 -2.957
Sb -2.118 -24.210 -3.209
Ba -0.734 -18.102 -2.664
Ba -5.023 -22.169 -1.979
O -3.963 -27.593 -6.355
O -0.060 -20.791 -1.773
V 0.221 -13.886 -2.287
O -1.578 -17.067 -5.416
O 3.920 -3.122 -0.217
Ba -2.009 -11.952 -4.465
O -2.909 -22.459 -4.098
O -3.439 -30.039 -3.729
Na -2.518 -11.111 -0.992
O 0.166 -7.595 -3.030
O -1.987 -25.114 -4.924
Na -0.831 -3.668 -0.327
O 0.696 -0.014 -3.399
O -2.584 -14.492 -4.691
V 2.879 -2.157 -1.241
V -5.622 -27.896 -5.888
O 1.535 -13.647 -1.157
O -1.835 -9.698 -2.629
Sb -1.264 -8.663 -4.171
O -3.889 -24.876 -2.764
O 1.146 -5.178 -4.364
O -5.830 -27.359 -4.236
Ba -3.349 -14.779 -1.319
Sb -0.625 -5.843 -3.920
O -4.278 -16.406 -5.972
Ba 2.040 -5.858 -1.571
O -2.124 -22.861 -1.576
Ba 0.121 -2.554 -3.626
O -2.811 -20.117 -2.339
O 1.220 -2.460 -0.773
O -3.445 -16.834 -3.296
O -0.364 -23.082 -3.574
O 0.702 -13.220 -3.832
O -0.619 -7.192 -5.552
V -2.964 -16.168 -4.841
O -1.605 -4.504 -4.931
Ba -2.864 -27.500 -3.502
Na -5.866 -25.890 -2.311
O -1.165 -12.986 -1.712
O -1.138 -25.550 -2.198
Ba -1.674 -7.390 -0.660
O 3.087 -2.694 -2.893
O -0.908 -20.356 -4.500
Ba 1.060 -10.185 -1.957
O -2.379 -6.972 -3.554
Ba 0.000 0.000 0.000
Ba -4.783 -24.195 -5.557
O -0.756 -4.939 -2.204
O -2.683 -9.262 -5.355
Na -4.180 -18.447 -1.646
Ba -3.803 -19.869 -5.171